MgVGaRe after structural relaxation. Source: the Alexandria database, functional PBE-GGA.

Properties
- total energy (eV for the cell shown) = -26.1
- energy of formation from the pure elements (eV per atom) = 0.03

Cell and atoms, written as POSCAR:
```
MgVGaRe
1.0
4.3840 0.0000 0.0000
2.1920 3.7967 0.0000
2.1920 1.2656 3.5796
Re Mg Ga V
1 1 1 1
direct
0.2500 0.2500 0.2500 Re
0.7500 0.7500 0.7500 Mg
0.5000 0.5000 0.5000 Ga
0.0000 0.0000 0.0000 V
```

Mg4GaRh5 after structural relaxation. Source: the Alexandria database, functional PBE-GGA.

Properties
- total energy (eV for the cell shown) = -51.6
- energy of formation from the pure elements (eV per atom) = -0.55

Cell and atoms, written as POSCAR:
```
Mg4GaRh5
1.0
-0.0408 -1.2862 2.8162
2.6528 -1.4665 -0.6314
8.0026 12.0554 5.6221
Mg Ga Rh
4 1 5
direct
0.0000 0.0000 0.1983 Mg
0.0000 0.0000 0.3990 Mg
0.0000 0.0000 0.6010 Mg
0.0000 0.0000 0.8017 Mg
0.0000 0.0000 0.0000 Ga
0.5000 0.5000 0.0925 Rh
0.5000 0.5000 0.2980 Rh
0.5000 0.5000 0.5000 Rh
0.5000 0.5000 0.7020 Rh
0.5000 0.5000 0.9075 Rh
```

Mg4Ga3Rh after structural relaxation. Source: the Alexandria database, functional PBE-GGA.

Properties
- total energy (eV for the cell shown) = -24.3
- energy of formation from the pure elements (eV per atom) = -0.18

Cell and atoms, written as POSCAR:
```
Mg4Ga3Rh
1.0
-2.8723 0.7327 3.6252
-4.1445 -2.4297 -2.7926
5.2200 -4.1347 1.9470
Mg Rh Ga
4 1 3
direct
0.8752 0.4664 0.7505 Mg
0.1248 0.5336 0.2495 Mg
0.2306 0.1496 0.4612 Mg
0.7694 0.8504 0.5388 Mg
0.0000 0.0000 0.0000 Rh
0.6138 0.1646 0.2275 Ga
0.3862 0.8354 0.7725 Ga
0.5000 0.5000 0.0000 Ga
```

Mg5Ga12Rh2 after structural relaxation. Source: the Alexandria database, functional PBE-GGA.

Properties
- total energy (eV for the cell shown) = -63.9
- energy of formation from the pure elements (eV per atom) = -0.26

Cell and atoms, written as POSCAR:
```
Mg5Ga12Rh2
1.0
-6.1065 -0.2474 -6.0658
-1.0772 -2.0139 7.2782
-1.6427 5.8731 1.4143
Mg Ga Rh
5 12 2
direct
0.2663 0.5325 0.5096 Mg
0.3252 0.6503 0.0071 Mg
0.0000 0.0000 0.5000 Mg
0.6748 0.3497 0.9929 Mg
0.7337 0.4675 0.4904 Mg
0.8955 0.7909 0.0105 Ga
0.0827 0.7088 0.7216 Ga
0.6261 0.7088 0.7216 Ga
0.0938 0.7176 0.2910 Ga
0.6238 0.7176 0.2910 Ga
0.4979 0.9959 0.7044 Ga
0.5021 0.0041 0.2956 Ga
0.9062 0.2824 0.7090 Ga
0.3762 0.2824 0.7090 Ga
0.9173 0.2912 0.2784 Ga
0.3739 0.2912 0.2784 Ga
0.1045 0.2091 0.9895 Ga
0.7220 0.0000 0.0000 Rh
0.2780 0.0000 0.0000 Rh
```

| no. | volume (Å³/atom) | total moment (μB/cell) |
| --- | --- | --- |
| 1 | 14.90 | 0.00 |
| 2 | 14.88 | 0.00 |
| 3 | 18.76 | 0.00 |
| 4 | 17.87 | 0.00 |